# MgBP2O

MgBP2O after structural relaxation (GGA-PBE, Alexandria).

Summary:
size of the total moment = 0.000 μB/f.u.
density of states at the Fermi level = 3.552 states/eV per cell
raw total energy = -22.00 eV for the cell shown
volume = 13.590 Å³/atom

a = 3.840 Å, b = 3.840 Å, c = 4.608 Å
α = 90.00°, β = 90.00°, γ = 90.00°
Space group P4/mmm (No. 123)
Unique sites:
Mg: 0.000 0.000 0.000 [1 per cell]
B: 0.500 0.500 0.500 [1 per cell]
P: 0.000 0.500 0.500 [2 per cell]
O: 0.500 0.500 0.000 [1 per cell]

# K2RbH3

K2RbH3 after structural relaxation (GGA-PBE, Alexandria).

Summary:
size of the total moment = 0.000 μB/f.u.
density of states at the Fermi level = 0.000 states/eV per cell
raw total energy = -28.78 eV for the cell shown
volume = 23.861 Å³/atom

a = 4.063 Å, b = 5.775 Å, c = 12.203 Å
α = 90.00°, β = 90.00°, γ = 90.00°
Space group Immm (No. 71)
Unique sites:
K: 0.000 0.000 0.168 [4 per cell]
Rb: 0.000 0.000 0.500 [2 per cell]
H: 0.000 0.500 0.175 [4 per cell]
H: 0.000 0.500 0.500 [2 per cell]

# Ag3HgAu4

Ag3HgAu4 after structural relaxation (GGA-PBE, Alexandria).

Summary:
size of the total moment = 0.000 μB/f.u.
density of states at the Fermi level = 2.770 states/eV per cell
DFT formation energy = -0.0140 eV/atom
volume = 18.456 Å³/atom

a = 9.638 Å, b = 6.026 Å, c = 5.084 Å
α = 90.00°, β = 90.00°, γ = 90.00°
Space group Pmma (No. 51)
Unique sites:
Ag: 0.000 0.000 0.000 [2 per cell]
Ag: 0.250 0.000 0.335 [2 per cell]
Ag: 0.250 0.500 0.343 [2 per cell]
Hg: 0.000 0.500 0.000 [2 per cell]
Au: 0.000 0.245 0.500 [4 per cell]
Au: 0.250 0.246 0.834 [4 per cell]

Number 1: ρ 2.76 g cm⁻³. Number 2: ρ 1.93 g cm⁻³. Number 3: ρ 14.76 g cm⁻³.